[1]
# GGA-PBE K2La2As, relaxed
data_K2La2As
_space_group_name_H-M_alt 'P 4/m b m'
_space_group_IT_number 127
_space_group_name_Hall '-P 4 2ab'
_cell_length_a 7.8864
_cell_length_b 7.8864
_cell_length_c 6.2196
_cell_angle_alpha 90.00
_cell_angle_beta 90.00
_cell_angle_gamma 90.00
loop_
_atom_site_label
_atom_site_fract_x
_atom_site_fract_y
_atom_site_fract_z
K1 0.1383 0.3617 0.0000
La1 0.1735 0.6735 0.5000
As1 0.0000 0.0000 0.0000
# **Total energy**: -2.9372 eV/atom

---

[2]
# GGA-PBE SiTePb2, relaxed
data_SiTePb2
_space_group_name_H-M_alt 'R -3 m'
_space_group_IT_number 166
_space_group_name_Hall '-R 3 2"'
_cell_length_a 3.3682
_cell_length_b 3.3682
_cell_length_c 34.5521
_cell_angle_alpha 90.00
_cell_angle_beta 90.00
_cell_angle_gamma 120.00
loop_
_atom_site_label
_atom_site_fract_x
_atom_site_fract_y
_atom_site_fract_z
Si1 0.0000 0.0000 0.0000
Te1 0.0000 0.0000 0.5000
Pb1 0.0000 0.0000 0.2655
# **Formation energy from raw total energies**: 342 meV/atom

---

These records have V values of 38.683; 28.289 Å³ per atom, in the order they appear.